8
Lattice="2.890 0.000 0.000 0.000 3.706 0.000 0.000 0.000 11.819" Properties=species:S:1:pos:R:3 comment="PBE with a Hubbard U NiSbOsO, relaxed" relative_energy_mev_per_atom=72 m_tot_mub_per_atom=0.010 pbc="T T T"
Ni 0.000 0.000 0.000
Ni 0.000 1.853 5.910
Sb 1.445 0.000 6.955
Sb 1.445 1.853 1.046
Os 1.445 0.000 9.653
Os 1.445 1.853 3.743
O 1.445 0.000 3.732
O 1.445 1.853 9.642